# 1
# NdCd2Ag (PBE-GGA, optimized geometry)
data_NdCd2Ag
_chemical_formula_sum 'Nd4 Cd8 Ag4'
_space_group_name_H-M_alt 'F m -3 m'
_space_group_IT_number 225
_space_group_name_Hall '-F 4 2 3'
_cell_length_a 7.211
_cell_length_b 7.211
_cell_length_c 7.211
_cell_angle_alpha 90.00
_cell_angle_beta 90.00
_cell_angle_gamma 90.00
loop_
_atom_site_label
_atom_site_type_symbol
_atom_site_fract_x
_atom_site_fract_y
_atom_site_fract_z
Nd1 Nd 0.000 0.000 0.000
Cd1 Cd 0.250 0.250 0.250
Ag1 Ag 0.000 0.000 0.500
# Density = 8.45 g/cm³
# Spin magnetization = 0.0 μB/f.u.
# Energy of formation from the pure elements = -0.255 eV/atom


# 2
# GdErTh2 (PBE-GGA, optimized geometry)
data_GdErTh2
_chemical_formula_sum 'Gd4 Er4 Th8'
_space_group_name_H-M_alt 'F m -3 m'
_space_group_IT_number 225
_space_group_name_Hall '-F 4 2 3'
_cell_length_a 7.981
_cell_length_b 7.981
_cell_length_c 7.981
_cell_angle_alpha 90.00
_cell_angle_beta 90.00
_cell_angle_gamma 90.00
loop_
_atom_site_label
_atom_site_type_symbol
_atom_site_fract_x
_atom_site_fract_y
_atom_site_fract_z
Gd1 Gd 0.000 0.000 0.000
Er1 Er 0.000 0.000 0.500
Th1 Th 0.250 0.250 0.250
# Polymorph energy (0 for the lowest one) = 37 kJ/mol of formula units
# Density = 10.30 g/cm³
# Spin magnetization = 7.0 μB/f.u.
# Energy of formation from the pure elements = 0.144 eV/atom


# 3
# NbVCo (PBE-GGA, optimized geometry)
data_NbVCo
_chemical_formula_sum 'Nb3 V3 Co3'
_space_group_name_H-M_alt 'R 3 m'
_space_group_IT_number 160
_space_group_name_Hall 'R 3 -2"'
_cell_length_a 3.1687
_cell_length_b 3.1687
_cell_length_c 15.6474
_cell_angle_alpha 90.00
_cell_angle_beta 90.00
_cell_angle_gamma 120.00
loop_
_atom_site_label
_atom_site_type_symbol
_atom_site_fract_x
_atom_site_fract_y
_atom_site_fract_z
Nb1 Nb 0.0000 0.0000 0.0000
V1 V 0.0000 0.0000 0.2057
Co1 Co 0.0000 0.0000 0.7837
# Polymorph energy (0 for the lowest one) = 143 kJ/mol of formula units
# Density = 7.42 g/cm³
# Spin magnetization = 0.0 μB/f.u.
# Energy of formation from the pure elements = 0.313 eV/atom


# 4
# TlCdAg2 (PBE-GGA, optimized geometry)
data_TlCdAg2
_chemical_formula_sum 'Tl4 Cd4 Ag8'
_space_group_name_H-M_alt 'I -4 2 d'
_space_group_IT_number 122
_space_group_name_Hall 'I -4 2bw'
_cell_length_a 7.982
_cell_length_b 7.982
_cell_length_c 5.905
_cell_angle_alpha 90.00
_cell_angle_beta 90.00
_cell_angle_gamma 90.00
loop_
_atom_site_label
_atom_site_type_symbol
_atom_site_fract_x
_atom_site_fract_y
_atom_site_fract_z
Tl1 Tl 0.000 0.000 0.000
Cd1 Cd 0.000 0.000 0.500
Ag1 Ag 0.239 0.250 0.625
# Polymorph energy (0 for the lowest one) = 56 kJ/mol of formula units
# Density = 9.40 g/cm³
# Spin magnetization = 0.0 μB/f.u.
# Energy of formation from the pure elements = 0.203 eV/atom


# 5
# LiPdBr (PBE-GGA, optimized geometry)
data_LiPdBr
_chemical_formula_sum 'Li2 Pd2 Br2'
_space_group_name_H-M_alt 'P 1 m 1'
_space_group_IT_number 6
_space_group_name_Hall 'P -2y'
_cell_length_a 3.535
_cell_length_b 3.523
_cell_length_c 9.817
_cell_angle_alpha 90.00
_cell_angle_beta 95.91
_cell_angle_gamma 90.00
loop_
_atom_site_label
_atom_site_type_symbol
_atom_site_fract_x
_atom_site_fract_y
_atom_site_fract_z
Li1 Li 0.000 0.000 0.000
Li2 Li 0.382 0.500 0.634
Pd1 Pd 0.341 0.500 0.334
Pd2 Pd 0.877 0.000 0.428
Br1 Br 0.518 0.500 0.071
Br2 Br 0.905 0.000 0.733
# E_form (uncorrected) = -1.90 eV per formula unit
# Polymorph energy (0 for the lowest one) = 2 kJ/mol of formula units
# Density = 5.28 g/cm³
# Spin magnetization = 0.0 μB/f.u.


# 6
# CdCS2 (PBE-GGA, optimized geometry)
data_CdCS2
_chemical_formula_sum 'Cd3 C3 S6'
_space_group_name_H-M_alt 'R -3 m'
_space_group_IT_number 166
_space_group_name_Hall '-R 3 2"'
_cell_length_a 3.9436
_cell_length_b 3.9436
_cell_length_c 26.2109
_cell_angle_alpha 90.00
_cell_angle_beta 90.00
_cell_angle_gamma 120.00
loop_
_atom_site_label
_atom_site_type_symbol
_atom_site_fract_x
_atom_site_fract_y
_atom_site_fract_z
Cd1 Cd 0.0000 0.0000 0.0000
C1 C 0.0000 0.0000 0.5000
S1 S 0.0000 0.0000 0.4405
# E_form (uncorrected) = 1.46 eV per formula unit
# Polymorph energy (0 for the lowest one) = 0 kJ/mol of formula units
# Density = 2.66 g/cm³
# Spin magnetization = 0.0 μB/f.u.


# 7
# Ac2TlP3Pd12 (PBE-GGA, optimized geometry)
data_Ac2TlP3Pd12
_chemical_formula_sum 'Ac6 Tl3 P9 Pd36'
_space_group_name_H-M_alt 'R -3 m'
_space_group_IT_number 166
_space_group_name_Hall '-R 3 2"'
_cell_length_a 8.6122
_cell_length_b 8.6122
_cell_length_c 17.1864
_cell_angle_alpha 90.00
_cell_angle_beta 90.00
_cell_angle_gamma 120.00
loop_
_atom_site_label
_atom_site_type_symbol
_atom_site_fract_x
_atom_site_fract_y
_atom_site_fract_z
Ac1 Ac 0.0000 0.0000 0.1072
Tl1 Tl 0.0000 0.0000 0.5000
P1 P 0.0000 0.5000 0.0000
Pd1 Pd 0.0178 0.5089 0.8683
Pd2 Pd 0.0514 0.5257 0.3213
# Density = 9.15 g/cm³
# Spin magnetization = 0.0 μB/f.u.
# Energy of formation from the pure elements = -0.390 eV/atom


# 8
# PrYTlHg (PBE-GGA, optimized geometry)
data_PrYTlHg
_chemical_formula_sum 'Pr4 Y4 Tl4 Hg4'
_space_group_name_H-M_alt 'F -4 3 m'
_space_group_IT_number 216
_space_group_name_Hall 'F -4 2 3'
_cell_length_a 7.678
_cell_length_b 7.678
_cell_length_c 7.678
_cell_angle_alpha 90.00
_cell_angle_beta 90.00
_cell_angle_gamma 90.00
loop_
_atom_site_label
_atom_site_type_symbol
_atom_site_fract_x
_atom_site_fract_y
_atom_site_fract_z
Pr1 Pr 0.000 0.000 0.000
Y1 Y 0.000 0.000 0.500
Tl1 Tl 0.250 0.250 0.250
Hg1 Hg 0.250 0.250 0.750
# Density = 9.32 g/cm³
# Spin magnetization = 0.7 μB/f.u.
# Energy of formation from the pure elements = -0.435 eV/atom


# 9
# DyFeSi3Tc (PBE-GGA, optimized geometry)
data_DyFeSi3Tc
_chemical_formula_sum 'Dy4 Fe4 Si12 Tc4'
_space_group_name_H-M_alt 'C m c m'
_space_group_IT_number 63
_space_group_name_Hall '-C 2c 2'
_cell_length_a 7.435
_cell_length_b 10.575
_cell_length_c 5.443
_cell_angle_alpha 90.00
_cell_angle_beta 90.00
_cell_angle_gamma 90.00
loop_
_atom_site_label
_atom_site_type_symbol
_atom_site_fract_x
_atom_site_fract_y
_atom_site_fract_z
Dy1 Dy 0.000 0.245 0.250
Fe1 Fe 0.000 0.035 0.750
Si1 Si 0.000 0.233 0.750
Si2 Si 0.241 0.000 0.000
Tc1 Tc 0.000 0.444 0.750
# E_form (uncorrected) = -2.00 eV per formula unit
# Density = 6.22 g/cm³
# Spin magnetization = 0.0 μB/f.u.


# 10
# BaReSb2Te (PBE-GGA, optimized geometry)
data_BaReSb2Te
_chemical_formula_sum 'Ba1 Re1 Sb2 Te1'
_space_group_name_H-M_alt 'P 4/m m m'
_space_group_IT_number 123
_space_group_name_Hall '-P 4 2'
_cell_length_a 5.969
_cell_length_b 5.969
_cell_length_c 6.082
_cell_angle_alpha 90.00
_cell_angle_beta 90.00
_cell_angle_gamma 90.00
loop_
_atom_site_label
_atom_site_type_symbol
_atom_site_fract_x
_atom_site_fract_y
_atom_site_fract_z
Ba1 Ba 0.000 0.000 0.000
Re1 Re 0.500 0.500 0.500
Sb1 Sb 0.000 0.500 0.000
Te1 Te 0.000 0.000 0.500
# E_form (uncorrected) = 12.11 eV per formula unit
# Polymorph energy (0 for the lowest one) = 1194 kJ/mol of formula units
# Density = 5.32 g/cm³
# Spin magnetization = 0.0 μB/f.u.


# 11
# Ga2BiAu (PBE-GGA, optimized geometry)
data_Ga2BiAu
_chemical_formula_sum 'Ga2 Bi1 Au1'
_space_group_name_H-M_alt 'P 4/m m m'
_space_group_IT_number 123
_space_group_name_Hall '-P 4 2'
_cell_length_a 3.437
_cell_length_b 3.437
_cell_length_c 7.457
_cell_angle_alpha 90.00
_cell_angle_beta 90.00
_cell_angle_gamma 90.00
loop_
_atom_site_label
_atom_site_type_symbol
_atom_site_fract_x
_atom_site_fract_y
_atom_site_fract_z
Ga1 Ga 0.000 0.000 0.201
Bi1 Bi 0.500 0.500 0.500
Au1 Au 0.500 0.500 0.000
# Density = 10.28 g/cm³
# Spin magnetization = 0.0 μB/f.u.
# Energy of formation from the pure elements = 0.002 eV/atom


# 12
# Ba2ReTc (PBE-GGA, optimized geometry)
data_Ba2ReTc
_chemical_formula_sum 'Ba4 Re2 Tc2'
_space_group_name_H-M_alt 'C m m m'
_space_group_IT_number 65
_space_group_name_Hall '-C 2 2'
_cell_length_a 6.014
_cell_length_b 10.940
_cell_length_c 3.029
_cell_angle_alpha 90.00
_cell_angle_beta 90.00
_cell_angle_gamma 90.00
loop_
_atom_site_label
_atom_site_type_symbol
_atom_site_fract_x
_atom_site_fract_y
_atom_site_fract_z
Ba1 Ba 0.250 0.250 0.000
Re1 Re 0.000 0.000 0.500
Tc1 Tc 0.000 0.500 0.500
# Polymorph energy (0 for the lowest one) = 461 kJ/mol of formula units
# Density = 9.31 g/cm³
# Spin magnetization = 0.4 μB/f.u.
# Energy of formation from the pure elements = 1.569 eV/atom


# 13
# CuAgSeS (PBE-GGA, optimized geometry)
data_CuAgSeS
_chemical_formula_sum 'Cu3 Ag3 Se3 S3'
_space_group_name_H-M_alt 'R 3 m'
_space_group_IT_number 160
_space_group_name_Hall 'R 3 -2"'
_cell_length_a 3.9372
_cell_length_b 3.9372
_cell_length_c 19.6747
_cell_angle_alpha 90.00
_cell_angle_beta 90.00
_cell_angle_gamma 120.00
loop_
_atom_site_label
_atom_site_type_symbol
_atom_site_fract_x
_atom_site_fract_y
_atom_site_fract_z
Cu1 Cu 0.0000 0.0000 0.0000
Ag1 Ag 0.0000 0.0000 0.5064
Se1 Se 0.0000 0.0000 0.3739
S1 S 0.0000 0.0000 0.8877
# E_form (uncorrected) = 0.00 eV per formula unit
# Density = 5.33 g/cm³
# Spin magnetization = 0.0 μB/f.u.


no.,electronic total energy (eV/atom)
1,-2.62
2,-8.23
3,-8.45
4,-2.04
5,-3.56
6,-4.23
7,-5.34
8,-3.91
9,-6.95
10,-2.73
11,-3.30
12,-5.10
13,-3.64